No. 1
# Ac2Cd15Sn2

A geometry-optimized Ac2Cd15Sn2 structure (GGA-PBE, Alexandria via LeMat-Bulk).

**Energy relative to the elements**: -0.175 eV per atom
**Space group**: R-3m (166)

Lattice parameters (Å, degrees): 7.8132 7.8132 7.8132 84.71 84.71 84.71
Positions (direct):
Ac 0.1672 0.1672 0.1672
Ac 0.8328 0.8328 0.8328
Cd 0.0000 0.5000 0.5000
Cd 0.1465 0.1465 0.6703
Cd 0.1465 0.6703 0.1465
Cd 0.1902 0.5000 0.8098
Cd 0.1902 0.8098 0.5000
Cd 0.3297 0.8535 0.8535
Cd 0.5000 0.0000 0.5000
Cd 0.5000 0.1902 0.8098
Cd 0.5000 0.5000 0.0000
Cd 0.5000 0.8098 0.1902
Cd 0.6703 0.1465 0.1465
Cd 0.8098 0.1902 0.5000
Cd 0.8098 0.5000 0.1902
Cd 0.8535 0.3297 0.8535
Cd 0.8535 0.8535 0.3297
Sn 0.3994 0.3994 0.3994
Sn 0.6006 0.6006 0.6006

***

No. 2
# Y3MgN

A geometry-optimized Y3MgN structure (GGA-PBE, Alexandria via LeMat-Bulk).

**Energy relative to the elements, uncorrected**: -704.2 meV/atom
**Space group**: R-3c (167)

Lattice parameters (Å, degrees): 6.9112 6.9112 6.9112 59.92 59.92 59.92
Positions (direct):
Y 0.2282 0.7500 0.2718
Y 0.2500 0.7282 0.7718
Y 0.2718 0.2282 0.7500
Y 0.7282 0.7718 0.2500
Y 0.7500 0.2718 0.2282
Y 0.7718 0.2500 0.7282
Mg 0.2500 0.2500 0.2500
Mg 0.7500 0.7500 0.7500
N 0.0000 0.0000 0.0000
N 0.5000 0.5000 0.5000

***

No. 3
# LiPrCd

A geometry-optimized LiPrCd structure (GGA-PBE, Alexandria via LeMat-Bulk).

**Energy relative to the elements**: 0.183 eV per atom
**Space group**: R3m (160)

Lattice parameters (Å, degrees): 3.3539 3.3539 27.2313 90.00 90.00 120.00
Positions (direct):
Li 0.0000 0.0000 0.0000
Li 0.3333 0.6667 0.6667
Li 0.6667 0.3333 0.3333
Pr 0.0000 0.0000 0.2266
Pr 0.3333 0.6667 0.8933
Pr 0.6667 0.3333 0.5599
Cd 0.0000 0.0000 0.1064
Cd 0.3333 0.6667 0.7730
Cd 0.6667 0.3333 0.4397

***

No. 4
# Ho4Ge9Ir13

A geometry-optimized Ho4Ge9Ir13 structure (GGA-PBE, Alexandria via LeMat-Bulk).

**Energy relative to the elements**: -0.654 eV per atom
**Space group**: Pmmn (59)

Lattice parameters (Å, degrees): 3.9958 11.2967 19.5487 90.00 90.00 90.00
Positions (direct):
Ho 0.2500 0.0594 0.2074
Ho 0.2500 0.2500 0.0232
Ho 0.2500 0.4406 0.2074
Ho 0.2500 0.7500 0.5192
Ho 0.7500 0.2500 0.4808
Ho 0.7500 0.5594 0.7926
Ho 0.7500 0.7500 0.9768
Ho 0.7500 0.9406 0.7926
Ge 0.2500 0.0705 0.4155
Ge 0.2500 0.1193 0.7312
Ge 0.2500 0.2500 0.6007
Ge 0.2500 0.3807 0.7312
Ge 0.2500 0.4295 0.4155
Ge 0.2500 0.5639 0.9191
Ge 0.2500 0.7500 0.0997
Ge 0.2500 0.7500 0.7348
Ge 0.2500 0.9361 0.9191
Ge 0.7500 0.0639 0.0809
Ge 0.7500 0.2500 0.2652
Ge 0.7500 0.2500 0.9003
Ge 0.7500 0.4361 0.0809
Ge 0.7500 0.5705 0.5845
Ge 0.7500 0.6193 0.2688
Ge 0.7500 0.7500 0.3993
Ge 0.7500 0.8807 0.2688
Ge 0.7500 0.9295 0.5845
Ir 0.2500 0.0594 0.5399
Ir 0.2500 0.1260 0.8578
Ir 0.2500 0.2500 0.3424
Ir 0.2500 0.3740 0.8578
Ir 0.2500 0.4406 0.5399
Ir 0.2500 0.5493 0.0464
Ir 0.2500 0.5672 0.6648
Ir 0.2500 0.6232 0.3542
Ir 0.2500 0.7500 0.2271
Ir 0.2500 0.7500 0.8591
Ir 0.2500 0.8768 0.3542
Ir 0.2500 0.9328 0.6648
Ir 0.2500 0.9507 0.0464
Ir 0.7500 0.0493 0.9536
Ir 0.7500 0.0672 0.3352
Ir 0.7500 0.1232 0.6458
Ir 0.7500 0.2500 0.1409
Ir 0.7500 0.2500 0.7729
Ir 0.7500 0.3768 0.6458
Ir 0.7500 0.4328 0.3352
Ir 0.7500 0.4507 0.9536
Ir 0.7500 0.5594 0.4601
Ir 0.7500 0.6260 0.1422
Ir 0.7500 0.7500 0.6576
Ir 0.7500 0.8740 0.1422
Ir 0.7500 0.9406 0.4601

***

No. 5
# LiTmPt2

A geometry-optimized LiTmPt2 structure (GGA-PBE, Alexandria via LeMat-Bulk).

**Energy relative to the elements**: -0.979 eV per atom
**Space group**: I4/mmm (139)

Lattice parameters (Å, degrees): 4.3180 4.3180 7.4121 90.00 90.00 90.00
Positions (direct):
Li 0.0000 0.0000 0.0000
Li 0.5000 0.5000 0.5000
Tm 0.0000 0.0000 0.5000
Tm 0.5000 0.5000 0.0000
Pt 0.0000 0.5000 0.2500
Pt 0.0000 0.5000 0.7500
Pt 0.5000 0.0000 0.2500
Pt 0.5000 0.0000 0.7500

***

No. 6
# KCaBr2

A geometry-optimized KCaBr2 structure (GGA-PBE, Alexandria via LeMat-Bulk).

**Energy relative to the elements, uncorrected**: -1479.5 meV/atom
**Space group**: Pm (6)

Lattice parameters (Å, degrees): 4.3749 5.8048 5.8032 90.00 90.09 90.00
Positions (direct):
K 0.0000 0.0000 0.0000
Ca 0.4996 0.5000 0.5010
Br 0.4982 0.5000 0.0010
Br 0.5003 0.0000 0.5009

***

No. 7
# Nd2HoLu

A geometry-optimized Nd2HoLu structure (GGA-PBE, Alexandria via LeMat-Bulk).

**Energy relative to the elements**: 0.021 eV per atom
**Space group**: P4/mmm (123)

Lattice parameters (Å, degrees): 5.1077 5.1077 4.9875 90.00 90.00 90.00
Positions (direct):
Nd 0.0000 0.5000 0.0000
Nd 0.5000 0.0000 0.0000
Ho 0.0000 0.0000 0.5000
Lu 0.5000 0.5000 0.5000

***

No. 8
# PmHo2Tl2Ag2

A geometry-optimized PmHo2Tl2Ag2 structure (GGA-PBE, Alexandria via LeMat-Bulk).

**Energy relative to the elements**: -0.178 eV per atom
**Space group**: R-3m (166)

Lattice parameters (Å, degrees): 9.1260 9.1260 9.1260 31.27 31.27 31.27
Positions (direct):
Pm 0.0000 0.0000 0.0000
Ho 0.1332 0.1332 0.1332
Ho 0.8668 0.8668 0.8668
Tl 0.2637 0.2637 0.2637
Tl 0.7363 0.7363 0.7363
Ag 0.4375 0.4375 0.4375
Ag 0.5625 0.5625 0.5625

***

No. 9
# Nd2DyY3Te6

A geometry-optimized Nd2DyY3Te6 structure (GGA-PBE, Alexandria via LeMat-Bulk).

**Energy relative to the elements, uncorrected**: -1344.4 meV/atom
**Space group**: C2/m (12)

Lattice parameters (Å, degrees): 9.8656 9.8656 8.8739 103.04 103.04 25.65
Positions (direct):
Nd 0.1696 0.1696 0.3368
Nd 0.8304 0.8304 0.6632
Dy 0.5000 0.5000 0.0000
Y 0.1718 0.1718 0.8345
Y 0.5000 0.5000 0.5000
Y 0.8282 0.8282 0.1655
Te 0.0034 0.0034 0.7528
Te 0.3361 0.3361 0.9255
Te 0.3375 0.3375 0.4106
Te 0.6626 0.6626 0.5894
Te 0.6639 0.6639 0.0745
Te 0.9966 0.9966 0.2472

***

No. 10
# UTeRu

A geometry-optimized UTeRu structure (GGA-PBE, Alexandria via LeMat-Bulk).

**Energy relative to the elements, uncorrected**: 163.5 meV/atom
**Space group**: I4mm (107)

Lattice parameters (Å, degrees): 4.2532 4.2532 8.0100 90.00 90.00 90.00
Positions (direct):
U 0.0000 0.0000 0.0000
U 0.5000 0.5000 0.5000
Te 0.0000 0.0000 0.3756
Te 0.5000 0.5000 0.8756
Ru 0.0000 0.0000 0.7190
Ru 0.5000 0.5000 0.2190

***

No. 11
# AcSiO3F

A geometry-optimized AcSiO3F structure (GGA-PBE, Alexandria via LeMat-Bulk).

**Energy relative to the elements, uncorrected**: -3099.6 meV/atom
**Space group**: C2/c (15)

Lattice parameters (Å, degrees): 6.3511 6.3511 4.6638 98.64 98.64 112.86
Positions (direct):
Ac 0.1635 0.8365 0.7500
Ac 0.8365 0.1635 0.2500
Si 0.4494 0.5506 0.2500
Si 0.5506 0.4494 0.7500
O 0.2917 0.7083 0.2500
O 0.2980 0.3963 0.5008
O 0.3963 0.2980 0.0008
O 0.6037 0.7020 0.9992
O 0.7020 0.6037 0.4992
O 0.7083 0.2917 0.7500
F 0.0615 0.9385 0.2500
F 0.9385 0.0615 0.7500

***

No. 12
# K2AgP

A geometry-optimized K2AgP structure (GGA-PBE, Alexandria via LeMat-Bulk).

**Energy relative to the elements**: -0.008 eV per atom
**Space group**: I-4m2 (119)

Lattice parameters (Å, degrees): 5.2043 5.2043 7.3499 90.00 90.00 90.00
Positions (direct):
K 0.0000 0.0000 0.0000
K 0.0000 0.5000 0.2500
K 0.5000 0.0000 0.7500
K 0.5000 0.5000 0.5000
Ag 0.0000 0.5000 0.7500
Ag 0.5000 0.0000 0.2500
P 0.0000 0.0000 0.5000
P 0.5000 0.5000 0.0000